A relaxed TlFeF2 crystal. Source: Alexandria, functional GGA+U.

The symmetry is I-42d. The total energy comes out at -4.45 eV/atom. The distance to the lowest polymorph of the same formula comes out at 0.0000 eV per atom.

Cell lengths 6.737, 6.737, 6.737 Å; angles 130.01, 130.01, 73.39 degrees
Fractional positions:
Tl: 0.000 0.000 0.000
Tl: 0.750 0.250 0.500
Fe: 0.250 0.750 0.500
Fe: 0.500 0.500 0.000
F: 0.308 0.625 0.183
F: 0.375 0.558 0.683
F: 0.442 0.125 0.817
F: 0.875 0.692 0.317